Record 1
Material: BaAlGa
Method: DFT, PBEsol
State: relaxed

a = 4.466 Å, b = 4.466 Å, c = 8.100 Å
α = 90.00°, β = 90.00°, γ = 90.00°
Fractional coordinates of all 6 atoms:
Al (0.500, 0.500, 0.500)
Ga (0.500, 0.000, 0.691)
Ba (0.000, 0.500, 0.824)
Al (0.000, 0.000, 0.500)
Ba (0.500, 0.000, 0.176)
Ga (0.000, 0.500, 0.309)

Values from the calculation:
Symmetry: P4/nmm


Record 2
Material: Al2Cu2Au
Method: DFT, PBEsol
State: relaxed

a = 3.663 Å, b = 3.663 Å, c = 6.155 Å
α = 107.31°, β = 107.31°, γ = 90.00°
Fractional coordinates of all 5 atoms:
Al (0.250, 0.750, 0.500)
Au (0.000, 0.000, 0.000)
Cu (0.604, 0.604, 0.208)
Cu (0.396, 0.396, 0.792)
Al (0.750, 0.250, 0.500)

Values from the calculation:
Symmetry: I4/mmm


no.,DOS at the Fermi energy (states/eV/f.u.),E_form (eV/atom)
1,0.65,-0.40
2,1.87,0.08